## Mg2TaRe (GGA-PBE)

Data for a relaxed structure of Mg2TaRe.

a = 4.588 Å, b = 4.588 Å, c = 4.588 Å
α = 60.00°, β = 60.00°, γ = 60.00°
Fractional coordinates of all 4 atoms:
Mg 0.250 0.250 0.250
Mg 0.750 0.750 0.750
Ta 0.000 0.000 0.000
Re 0.500 0.500 0.500

Results
Total magnetization in μB per atom: 0.1297
Space-group type: No. 225
DFT total energy in eV for the cell shown: -24.49
Mass density in g/cm³: 10.11
Energy relative to the elements in eV per atom: 0.75
Offset from the most stable computed form in meV per atom: 657